First-principles (GGA-PBE) data for Y2HoIn3Ir2 after structural relaxation, as listed in OQMD.

* calculated total energy: -0.4465 Ry/atom
* total magnetic moment: 0.009 μB/f.u.
* space group: Amm2, No. 38

Unit cell a=3.6798 b=13.1454 c=7.6249 alpha=90.00 beta=90.00 gamma=90.00
With the nearest neighbours (Å) after each atom.
Positions (direct):
Y (0.0000, 0.2104, 0.0000)  4 Ir 2.94, 2 In 3.20
Y (0.0000, 0.2896, 0.5000)  4 Ir 2.94, 2 In 3.20
Y (0.0000, 0.7104, 0.5000)  4 Ir 2.94, 2 In 3.20
Y (0.0000, 0.7896, 0.0000)  4 Ir 2.94, 2 In 3.20
Ho (0.0000, 0.0000, 0.6325)  4 Ir 2.90, 2 In 3.19
Ho (0.0000, 0.5000, 0.1325)  4 Ir 2.90, 2 In 3.19
In (0.5000, 0.0000, 0.9750)  2 Ir 2.96, 2 In 3.10, 2 Ho 3.19
In (0.5000, 0.1173, 0.3281)  2 Ir 2.98-3.00, 2 In 3.08-3.10, 2 Y 3.20
In (0.5000, 0.3827, 0.8281)  2 Ir 2.98-3.00, 2 In 3.08-3.10, 2 Y 3.20
In (0.5000, 0.5000, 0.4750)  2 Ir 2.96, 2 In 3.10, 2 Ho 3.19
In (0.5000, 0.6173, 0.8281)  2 Ir 2.98-3.00, 2 In 3.08-3.10, 2 Y 3.20
In (0.5000, 0.8827, 0.3281)  2 Ir 2.98-3.00, 2 In 3.08-3.10, 2 Y 3.20
Ir (0.5000, 0.1648, 0.7096)  2 Ho 2.90, 4 Y 2.94, 3 In 2.96-3.00
Ir (0.5000, 0.3352, 0.2096)  2 Ho 2.90, 4 Y 2.94, 3 In 2.96-3.00
Ir (0.5000, 0.6648, 0.2096)  2 Ho 2.90, 4 Y 2.94, 3 In 2.96-3.00
Ir (0.5000, 0.8352, 0.7096)  2 Ho 2.90, 4 Y 2.94, 3 In 2.96-3.00